Tl7BiPb5: relaxed, GGA-PBE.

Properties
M_tot = 0.00 μB per formula unit
Fermi-level density of states = 0.479 states/eV/atom
Formation energy from the elements = 0.040 eV per atom

Structure (POSCAR):
```
Tl7BiPb5
1.0
7.108 -5.157 0.000
7.108 5.157 0.000
-1.960 0.000 5.802
Tl Bi Pb
7 1 5
Direct
0.000 0.000 0.000 Tl
0.237 0.237 0.337 Tl
0.263 0.940 0.636 Tl
0.470 0.843 0.132 Tl
0.843 0.470 0.132 Tl
0.863 0.863 0.339 Tl
0.940 0.263 0.636 Tl
0.640 0.640 0.581 Bi
0.058 0.604 0.710 Pb
0.259 0.593 0.266 Pb
0.458 0.458 0.800 Pb
0.593 0.259 0.266 Pb
0.604 0.058 0.710 Pb
```